Entry from the Alexandria database: a relaxed Y4FeSi crystal (PBEsol).

The value obtained for the total energy is -6.20 eV per atom. Its crystal system is cubic. The space-group type is No. 216. As for the total moment: 0.4896 μB per atom. As for the energy relative to the elements, uncorrected: 4.78 eV per formula unit.

a = 5.940 Å, b = 5.940 Å, c = 5.940 Å
α = 60.00°, β = 60.00°, γ = 60.00°
Site moments in Bohr magnetons follow the coordinates.
Element x y z (fractional)
Y (0.375, 0.875, 0.375)  0.01
Y (0.375, 0.375, 0.875)  0.01
Y (0.375, 0.375, 0.375)  0.01
Y (0.875, 0.375, 0.375)  0.01
Si (0.000, 0.000, 0.000)  0.01
Fe (0.750, 0.750, 0.750)  2.94

Entry from the Alexandria database: a relaxed ZrAlSi2N crystal (PBEsol).

The value obtained for the total energy is -5.86 eV per atom. Its crystal system is tetragonal. The space-group type is No. 123. As for the total moment: 0.0000 μB per atom. As for the energy relative to the elements, uncorrected: 3.90 eV per formula unit.

a = 4.047 Å, b = 5.167 Å, c = 5.167 Å
α = 90.00°, β = 90.00°, γ = 90.00°
Element x y z (fractional)
Al (0.500, 0.500, 0.500)
Si (0.000, 0.000, 0.500)
Si (0.000, 0.500, 0.000)
N (0.500, 0.000, 0.000)
Zr (0.000, 0.000, 0.000)

Entry from the Alexandria database: a relaxed HfTiHg2Te crystal (PBEsol).

The value obtained for the total energy is -3.85 eV per atom. Its crystal system is tetragonal. The space-group type is No. 123. As for the total moment: 0.0000 μB per atom. As for the energy relative to the elements, uncorrected: 4.25 eV per formula unit.

a = 4.790 Å, b = 5.368 Å, c = 5.368 Å
α = 90.00°, β = 90.00°, γ = 90.00°
Element x y z (fractional)
Ti (0.500, 0.000, 0.000)
Te (0.500, 0.500, 0.500)
Hf (0.000, 0.000, 0.000)
Hg (0.000, 0.000, 0.500)
Hg (0.000, 0.500, 0.000)